# 1
Below is a relaxed structure of PmDyBeAg, with properties calculated at the GGA-PBE level.

Unit cell a=5.0833 b=5.0833 c=5.0833 alpha=60.00 beta=60.00 gamma=60.00
With the nearest neighbours (Å) after each atom.
Element x y z (fractional)
Be 0.0000 0.0000 0.0000  4 Pm 3.11, 4 Dy 3.11
Pm 0.2500 0.2500 0.2500  4 Be 3.11, 4 Ag 3.11
Ag 0.5000 0.5000 0.5000  4 Dy 3.11, 4 Pm 3.11
Dy 0.7500 0.7500 0.7500  4 Ag 3.11, 4 Be 3.11

Properties
DFT total energy: -4.01 eV/atom
Space-group type: No. 216
Calculated formation energy: -0.028 eV per atom
V: 92.9 Å³ per cell


# 2
Below is a relaxed structure of PrDyBeAg, with properties calculated at the GGA-PBE level.

Unit cell a=5.1251 b=5.1251 c=5.1251 alpha=60.00 beta=60.00 gamma=60.00
With the nearest neighbours (Å) after each atom.
Element x y z (fractional)
Pr 0.2500 0.2500 0.2500  4 Ag 3.14, 4 Be 3.14
Be 0.5000 0.5000 0.5000  4 Pr 3.14, 4 Dy 3.14
Ag 0.0000 0.0000 0.0000  4 Dy 3.14, 4 Pr 3.14
Dy 0.7500 0.7500 0.7500  4 Be 3.14, 4 Ag 3.14

Properties
DFT total energy: -4.00 eV/atom
Space-group type: No. 216
Calculated formation energy: -0.006 eV per atom
V: 95.2 Å³ per cell


Which N(E_F) belongs to each record? In order, 2.4, 2.7 states/eV/cell.